Ca6H2Pb3, relaxed, DFT PBE; SG = I4/mmm (139); electronic total energy = -35.3 eV for the cell shown
1.0
-2.5531 2.5531 11.8153
2.5531 -2.5531 11.8153
2.5531 2.5531 -11.8153
Ca H Pb
6 2 3
direct
0.0824 0.5824 0.5000
0.1988 0.1988 0.0000
0.4176 0.9176 0.5000
0.5824 0.0824 0.5000
0.8012 0.8012 0.0000
0.9176 0.4176 0.5000
0.0982 0.0982 0.0000
0.9018 0.9018 0.0000
0.3335 0.3335 0.0000
0.5000 0.5000 0.0000
0.6665 0.6665 0.0000